NaAcH2, relaxed, DFT PBE; energy = -3.025 eV/atom; N(E_F) = 1.5 states/eV/f.u.
1.0
-2.002 0.183 -2.799
1.586 -2.763 -1.315
-5.118 -4.538 3.365
H Na Ac
2 1 1
Direct
0.000 0.000 0.863
0.000 0.000 0.137
0.500 0.500 0.500
0.500 0.500 0.000

Np5PaS6, relaxed, DFT PBE; ΔE_f (raw) = -1.41 eV per atom; N(E_F) = 31.7 states/eV/f.u.
1.0
6.615 -0.102 -1.247
-3.573 5.567 -1.247
0.134 0.240 6.749
S Np Pa
6 5 1
Direct
0.253 0.253 0.748
0.421 0.085 0.254
0.085 0.421 0.254
0.915 0.579 0.746
0.579 0.915 0.746
0.747 0.747 0.252
0.166 0.834 0.500
0.333 0.667 0.000
0.834 0.166 0.500
0.500 0.500 0.500
0.667 0.333 0.000
0.000 0.000 0.000

NaCa3SmP3O12F, relaxed, DFT PBE; ΔE_f (raw) = -2.93 eV per atom; N(E_F) = 0.0 states/eV/f.u.
1.0
-0.630 7.079 6.258
-7.827 -3.218 -4.331
-1.682 -9.192 10.291
O Ca F Na P Sm
48 12 4 4 12 4
Direct
0.482 0.318 0.867
0.157 0.481 0.628
0.762 0.682 0.215
0.903 0.269 0.721
0.535 0.415 0.629
0.336 0.088 0.536
0.835 0.517 0.865
0.161 0.475 0.123
0.663 0.907 0.467
0.688 0.156 0.378
0.526 0.686 0.127
0.912 0.247 0.038
0.421 0.882 0.378
0.676 0.915 0.790
0.676 0.914 0.291
0.086 0.732 0.281
0.520 0.678 0.629
0.566 0.104 0.138
0.312 0.839 0.616
0.085 0.743 0.783
0.876 0.461 0.616
0.109 0.540 0.397
0.418 0.876 0.876
0.249 0.343 0.286
0.748 0.662 0.039
0.485 0.580 0.375
0.050 0.759 0.957
0.267 0.352 0.965
0.676 0.154 0.873
0.344 0.092 0.030
0.291 0.050 0.204
0.114 0.543 0.891
0.747 0.667 0.541
0.891 0.479 0.120
0.304 0.832 0.107
0.539 0.423 0.138
0.929 0.238 0.544
0.266 0.351 0.465
0.251 0.337 0.786
0.482 0.586 0.874
0.746 0.656 0.719
0.832 0.522 0.368
0.468 0.302 0.364
0.666 0.914 0.966
0.586 0.108 0.620
0.052 0.765 0.454
0.908 0.268 0.217
0.359 0.092 0.715
0.009 0.752 0.623
0.343 0.657 0.001
0.248 0.257 0.124
0.243 0.250 0.623
0.258 0.007 0.374
0.674 0.326 0.251
0.258 0.007 0.871
0.000 0.256 0.878
0.342 0.659 0.504
0.755 0.992 0.628
0.745 0.000 0.129
0.998 0.256 0.377
0.004 0.010 0.370
0.003 0.995 0.635
0.003 0.008 0.874
0.992 0.998 0.119
0.655 0.326 0.493
0.327 0.669 0.748
0.328 0.663 0.248
0.656 0.324 0.001
0.372 0.397 0.872
0.396 0.025 0.619
0.370 0.392 0.371
0.972 0.367 0.625
0.381 0.019 0.119
0.606 0.968 0.876
0.610 0.970 0.378
0.973 0.371 0.124
0.635 0.610 0.130
0.631 0.604 0.629
0.020 0.634 0.376
0.023 0.635 0.873
0.015 0.766 0.126
0.665 0.321 0.745
0.769 0.756 0.878
0.770 0.756 0.381

NaHf2ZrB, relaxed, DFT PBE; N(E_F) = 4.0 states/eV/f.u.; energy of formation from the pure elements = 2291.7 meV per atom
1.0
4.830 0.000 0.000
0.000 4.812 0.000
0.000 0.000 4.830
B Na Hf Zr
1 1 2 1
Direct
0.500 0.500 0.500
0.000 0.000 0.000
0.000 0.000 0.500
0.500 0.000 0.000
0.000 0.500 0.000

Tl3Ge2Au3, relaxed, DFT PBE; N(E_F) = 3.4 states/eV/f.u.; energy of formation from the pure elements = -14.1 meV per atom
1.0
-0.725 -3.871 -1.989
5.195 3.020 -2.878
8.750 -6.336 9.143
Au Tl Ge
6 6 4
Direct
0.390 0.780 0.528
0.610 0.220 0.472
0.610 0.220 0.028
0.729 0.457 0.750
0.271 0.543 0.250
0.390 0.780 0.972
0.069 0.138 0.873
0.931 0.862 0.373
0.398 0.796 0.750
0.931 0.862 0.127
0.602 0.204 0.250
0.069 0.138 0.627
0.212 0.424 0.075
0.788 0.576 0.925
0.212 0.424 0.425
0.788 0.576 0.575

DyCu5Hg, relaxed, DFT PBE; N(E_F) = 3.5 states/eV/f.u.; energy of formation from the pure elements = -171.5 meV per atom
1.0
5.026 0.000 0.000
0.000 8.277 0.000
0.000 0.000 10.509
Hg Cu Dy
4 20 4
Direct
0.250 0.866 0.865
0.750 0.134 0.135
0.750 0.634 0.365
0.250 0.366 0.635
0.501 0.931 0.314
0.750 0.554 0.608
0.250 0.446 0.392
0.750 0.814 0.740
0.250 0.946 0.108
0.250 0.082 0.484
0.250 0.582 0.016
0.501 0.431 0.186
0.750 0.418 0.984
0.001 0.569 0.814
0.001 0.069 0.686
0.999 0.931 0.314
0.750 0.918 0.516
0.250 0.186 0.260
0.750 0.314 0.760
0.499 0.569 0.814
0.999 0.431 0.186
0.750 0.054 0.892
0.499 0.069 0.686
0.250 0.686 0.240
0.750 0.754 0.067
0.750 0.254 0.433
0.250 0.246 0.933
0.250 0.746 0.567

Nd2MnZn2Rh5, relaxed, DFT PBE; N(E_F) = 5.9 states/eV/f.u.; energy of formation from the pure elements = -425.8 meV per atom
1.0
3.642 0.000 0.000
0.000 9.775 0.000
0.000 0.000 9.775
Rh Zn Nd Mn
10 4 4 2
Direct
0.500 0.564 0.701
0.500 0.701 0.436
0.500 0.201 0.064
0.500 0.500 0.000
0.500 0.299 0.564
0.500 0.799 0.936
0.500 0.000 0.500
0.500 0.436 0.299
0.500 0.936 0.201
0.500 0.064 0.799
0.000 0.623 0.877
0.000 0.377 0.123
0.000 0.877 0.377
0.000 0.123 0.623
0.000 0.325 0.825
0.000 0.675 0.175
0.000 0.825 0.675
0.000 0.175 0.325
0.000 0.500 0.500
0.000 0.000 0.000

KBaTlAu, relaxed, DFT PBE; N(E_F) = 3.5 states/eV/f.u.; energy of formation from the pure elements = -254.9 meV per atom
1.0
5.815 0.000 0.000
2.908 5.036 0.000
2.908 1.679 4.748
Ba K Au Tl
1 1 1 1
Direct
0.750 0.750 0.750
0.250 0.250 0.250
0.000 0.000 0.000
0.500 0.500 0.500

MgSi2Ru, relaxed, DFT PBE; ΔE_f (raw) = -0.17 eV per atom; N(E_F) = 2.2 states/eV/f.u.
1.0
8.228 -0.002 -0.001
7.688 2.934 -0.001
7.688 1.416 2.569
Si Ru Mg
2 1 1
Direct
0.490 0.490 0.490
0.010 0.010 0.010
0.750 0.750 0.750
0.250 0.250 0.250

LiCuSb2, relaxed, DFT PBE; ΔE_f (raw) = -0.09 eV per atom; N(E_F) = 1.6 states/eV/f.u.
1.0
-8.156 -2.229 -0.207
-7.115 -3.658 2.742
-8.020 -0.342 2.663
Li Sb Cu
1 2 1
Direct
0.750 0.750 0.750
0.993 0.993 0.993
0.507 0.507 0.507
0.250 0.250 0.250

What did the tenth record say?
LiCuSb2, relaxed, DFT PBE; ΔE_f (raw) = -0.09 eV per atom; N(E_F) = 1.6 states/eV/f.u.
1.0
-8.156 -2.229 -0.207
-7.115 -3.658 2.742
-8.020 -0.342 2.663
Li Sb Cu
1 2 1
Direct
0.750 0.750 0.750
0.993 0.993 0.993
0.507 0.507 0.507
0.250 0.250 0.250